[1]
VASP calculation (PBE) on a relaxed structure of Ta3Co2.

Computed properties:
Space-group type   P4_2/mnm, No. 136

Lattice parameters (Å, degrees): 9.4718 9.4718 5.1374 90.00 90.00 90.00
Positions (direct):
Ta (0.0000, 0.0000, 0.0000)
Ta (0.0551, 0.3461, 0.5000)
Ta (0.0737, 0.2708, 0.0000)
Ta (0.1539, 0.5551, 0.0000)
Ta (0.2292, 0.5737, 0.5000)
Ta (0.2708, 0.0737, 0.0000)
Ta (0.3461, 0.0551, 0.5000)
Ta (0.4263, 0.7708, 0.5000)
Ta (0.4449, 0.8461, 0.0000)
Ta (0.5000, 0.5000, 0.5000)
Ta (0.5551, 0.1539, 0.0000)
Ta (0.5737, 0.2292, 0.5000)
Ta (0.6539, 0.9449, 0.5000)
Ta (0.7292, 0.9263, 0.0000)
Ta (0.7708, 0.4263, 0.5000)
Ta (0.8461, 0.4449, 0.0000)
Ta (0.9263, 0.7292, 0.0000)
Ta (0.9449, 0.6539, 0.5000)
Co (0.0871, 0.0871, 0.5000)
Co (0.1703, 0.8297, 0.2613)
Co (0.1703, 0.8297, 0.7387)
Co (0.3297, 0.3297, 0.2387)
Co (0.3297, 0.3297, 0.7613)
Co (0.4129, 0.5871, 0.0000)
Co (0.5871, 0.4129, 0.0000)
Co (0.6703, 0.6703, 0.2387)
Co (0.6703, 0.6703, 0.7613)
Co (0.8297, 0.1703, 0.2613)
Co (0.8297, 0.1703, 0.7387)
Co (0.9129, 0.9129, 0.5000)

***

[2]
VASP calculation (PBE) on a relaxed structure of Ta2Co13.

Computed properties:
Space-group type   P4_2/mnm, No. 136

Lattice parameters (Å, degrees): 8.7735 8.7735 4.5375 90.00 90.00 90.00
Positions (direct):
Ta (0.1129, 0.1129, 0.0000)
Ta (0.3871, 0.6129, 0.5000)
Ta (0.6129, 0.3871, 0.5000)
Ta (0.8871, 0.8871, 0.0000)
Co (0.0000, 0.0000, 0.5000)
Co (0.0365, 0.3742, 0.0000)
Co (0.0639, 0.2674, 0.5000)
Co (0.1258, 0.5365, 0.5000)
Co (0.1815, 0.8185, 0.2486)
Co (0.1815, 0.8185, 0.7514)
Co (0.2326, 0.5639, 0.0000)
Co (0.2674, 0.0639, 0.5000)
Co (0.3185, 0.3185, 0.2514)
Co (0.3185, 0.3185, 0.7486)
Co (0.3742, 0.0365, 0.0000)
Co (0.4361, 0.7674, 0.0000)
Co (0.4635, 0.8742, 0.5000)
Co (0.5000, 0.5000, 0.0000)
Co (0.5365, 0.1258, 0.5000)
Co (0.5639, 0.2326, 0.0000)
Co (0.6258, 0.9635, 0.0000)
Co (0.6815, 0.6815, 0.2514)
Co (0.6815, 0.6815, 0.7486)
Co (0.7326, 0.9361, 0.5000)
Co (0.7674, 0.4361, 0.0000)
Co (0.8185, 0.1815, 0.2486)
Co (0.8185, 0.1815, 0.7514)
Co (0.8742, 0.4635, 0.5000)
Co (0.9361, 0.7326, 0.5000)
Co (0.9635, 0.6258, 0.0000)

***

[3]
VASP calculation (PBE) on a relaxed structure of Ta7Co5.

Computed properties:
Energy above the most stable polymorph in this dataset   0.243 eV per atom
Space-group type   P6_3/mmc, No. 194

Lattice parameters (Å, degrees): 5.1056 5.1056 16.6708 90.00 90.00 120.00
Positions (direct):
Ta (0.0000, 0.5000, 0.0000)
Ta (0.0000, 0.5000, 0.5000)
Ta (0.3333, 0.6667, 0.1432)
Ta (0.3333, 0.6667, 0.3568)
Ta (0.3333, 0.6667, 0.6658)
Ta (0.3333, 0.6667, 0.8342)
Ta (0.5000, 0.0000, 0.0000)
Ta (0.5000, 0.0000, 0.5000)
Ta (0.5000, 0.5000, 0.0000)
Ta (0.5000, 0.5000, 0.5000)
Ta (0.6667, 0.3333, 0.1658)
Ta (0.6667, 0.3333, 0.3342)
Ta (0.6667, 0.3333, 0.6432)
Ta (0.6667, 0.3333, 0.8568)
Co (0.0000, 0.0000, 0.0903)
Co (0.0000, 0.0000, 0.4097)
Co (0.0000, 0.0000, 0.5903)
Co (0.0000, 0.0000, 0.9097)
Co (0.1509, 0.3019, 0.2500)
Co (0.1509, 0.8491, 0.2500)
Co (0.3019, 0.1509, 0.7500)
Co (0.6981, 0.8491, 0.2500)
Co (0.8491, 0.1509, 0.7500)
Co (0.8491, 0.6981, 0.7500)

***

[4]
VASP calculation (PBE) on a relaxed structure of Ta13Co16.

Computed properties:
Energy above the most stable polymorph in this dataset   0.245 eV per atom
Space-group type   I-43m, No. 217

Lattice parameters (Å, degrees): 8.1389 8.1389 8.1389 109.47 109.47 109.47
Positions (direct):
Ta (0.0000, 0.0000, 0.0000)
Ta (0.0000, 0.2041, 0.4117)
Ta (0.0000, 0.4117, 0.2041)
Ta (0.2041, 0.0000, 0.4117)
Ta (0.2041, 0.4117, 0.0000)
Ta (0.2077, 0.7959, 0.7959)
Ta (0.4117, 0.0000, 0.2041)
Ta (0.4117, 0.2041, 0.0000)
Ta (0.5883, 0.5883, 0.7923)
Ta (0.5883, 0.7923, 0.5883)
Ta (0.7923, 0.5883, 0.5883)
Ta (0.7959, 0.2077, 0.7959)
Ta (0.7959, 0.7959, 0.2077)
Co (0.0000, 0.0000, 0.6822)
Co (0.0000, 0.4294, 0.6940)
Co (0.0000, 0.6822, 0.0000)
Co (0.0000, 0.6940, 0.4294)
Co (0.2645, 0.5706, 0.5706)
Co (0.3060, 0.3060, 0.7355)
Co (0.3060, 0.7355, 0.3060)
Co (0.3178, 0.3178, 0.3178)
Co (0.4294, 0.0000, 0.6940)
Co (0.4294, 0.6940, 0.0000)
Co (0.5706, 0.2645, 0.5706)
Co (0.5706, 0.5706, 0.2645)
Co (0.6822, 0.0000, 0.0000)
Co (0.6940, 0.0000, 0.4294)
Co (0.6940, 0.4294, 0.0000)
Co (0.7355, 0.3060, 0.3060)

***

[5]
VASP calculation (PBE) on a relaxed structure of Ta17Co12.

Computed properties:
Energy above the most stable polymorph in this dataset   0.100 eV per atom
Space-group type   I-43m, No. 217

Lattice parameters (Å, degrees): 8.3112 8.3112 8.3112 109.47 109.47 109.47
Positions (direct):
Ta (0.0000, 0.0000, 0.0000)
Ta (0.0000, 0.0000, 0.6377)
Ta (0.0000, 0.2025, 0.4009)
Ta (0.0000, 0.4009, 0.2025)
Ta (0.0000, 0.6377, 0.0000)
Ta (0.1984, 0.7975, 0.7975)
Ta (0.2025, 0.0000, 0.4009)
Ta (0.2025, 0.4009, 0.0000)
Ta (0.3623, 0.3623, 0.3623)
Ta (0.4009, 0.0000, 0.2025)
Ta (0.4009, 0.2025, 0.0000)
Ta (0.5991, 0.5991, 0.8016)
Ta (0.5991, 0.8016, 0.5991)
Ta (0.6377, 0.0000, 0.0000)
Ta (0.7975, 0.1984, 0.7975)
Ta (0.7975, 0.7975, 0.1984)
Ta (0.8016, 0.5991, 0.5991)
Co (0.0000, 0.4170, 0.6907)
Co (0.0000, 0.6907, 0.4170)
Co (0.2737, 0.5830, 0.5830)
Co (0.3093, 0.3093, 0.7263)
Co (0.3093, 0.7263, 0.3093)
Co (0.4170, 0.0000, 0.6907)
Co (0.4170, 0.6907, 0.0000)
Co (0.5830, 0.2737, 0.5830)
Co (0.5830, 0.5830, 0.2737)
Co (0.6907, 0.0000, 0.4170)
Co (0.6907, 0.4170, 0.0000)
Co (0.7263, 0.3093, 0.3093)

***

[6]
VASP calculation (PBE) on a relaxed structure of Ta7Co5.

Computed properties:
Energy above the most stable polymorph in this dataset   0.005 eV per atom
Space-group type   P6_3/mmc, No. 194

Lattice parameters (Å, degrees): 5.0884 5.0884 16.1100 90.00 90.00 120.00
Positions (direct):
Ta (0.0000, 0.0000, 0.1070)
Ta (0.0000, 0.0000, 0.3930)
Ta (0.0000, 0.0000, 0.6070)
Ta (0.0000, 0.0000, 0.8930)
Ta (0.0000, 0.5000, 0.0000)
Ta (0.0000, 0.5000, 0.5000)
Ta (0.3333, 0.6667, 0.1646)
Ta (0.3333, 0.6667, 0.3354)
Ta (0.5000, 0.0000, 0.0000)
Ta (0.5000, 0.0000, 0.5000)
Ta (0.5000, 0.5000, 0.0000)
Ta (0.5000, 0.5000, 0.5000)
Ta (0.6667, 0.3333, 0.6646)
Ta (0.6667, 0.3333, 0.8354)
Co (0.1616, 0.3232, 0.7500)
Co (0.1616, 0.8384, 0.7500)
Co (0.3232, 0.1616, 0.2500)
Co (0.3333, 0.6667, 0.6345)
Co (0.3333, 0.6667, 0.8655)
Co (0.6667, 0.3333, 0.1345)
Co (0.6667, 0.3333, 0.3655)
Co (0.6768, 0.8384, 0.7500)
Co (0.8384, 0.1616, 0.2500)
Co (0.8384, 0.6768, 0.2500)

***

[7]
VASP calculation (PBE) on a relaxed structure of Ta16Co13.

Computed properties:
Energy above the most stable polymorph in this dataset   0.212 eV per atom
Space-group type   I-43m, No. 217

Lattice parameters (Å, degrees): 8.2908 8.2908 8.2908 109.47 109.47 109.47
Positions (direct):
Ta (0.0000, 0.0000, 0.6565)
Ta (0.0000, 0.2022, 0.4084)
Ta (0.0000, 0.4084, 0.2022)
Ta (0.0000, 0.6565, 0.0000)
Ta (0.2022, 0.0000, 0.4084)
Ta (0.2022, 0.4084, 0.0000)
Ta (0.2062, 0.7978, 0.7978)
Ta (0.3435, 0.3435, 0.3435)
Ta (0.4084, 0.0000, 0.2022)
Ta (0.4084, 0.2022, 0.0000)
Ta (0.5916, 0.5916, 0.7938)
Ta (0.5916, 0.7938, 0.5916)
Ta (0.6565, 0.0000, 0.0000)
Ta (0.7938, 0.5916, 0.5916)
Ta (0.7978, 0.2062, 0.7978)
Ta (0.7978, 0.7978, 0.2062)
Co (0.0000, 0.0000, 0.0000)
Co (0.0000, 0.4258, 0.6941)
Co (0.0000, 0.6941, 0.4258)
Co (0.2683, 0.5742, 0.5742)
Co (0.3059, 0.3059, 0.7317)
Co (0.3059, 0.7317, 0.3059)
Co (0.4258, 0.0000, 0.6941)
Co (0.4258, 0.6941, 0.0000)
Co (0.5742, 0.2683, 0.5742)
Co (0.5742, 0.5742, 0.2683)
Co (0.6941, 0.0000, 0.4258)
Co (0.6941, 0.4258, 0.0000)
Co (0.7317, 0.3059, 0.3059)

***

[8]
VASP calculation (PBE) on a relaxed structure of Ta4Co25.

Computed properties:
Space-group type   I-43m, No. 217

Lattice parameters (Å, degrees): 7.5801 7.5801 7.5801 109.47 109.47 109.47
Positions (direct):
Ta (0.0000, 0.0000, 0.6381)
Ta (0.0000, 0.6381, 0.0000)
Ta (0.3619, 0.3619, 0.3619)
Ta (0.6381, 0.0000, 0.0000)
Co (0.0000, 0.0000, 0.0000)
Co (0.0000, 0.1904, 0.3735)
Co (0.0000, 0.3735, 0.1904)
Co (0.0000, 0.3947, 0.6757)
Co (0.0000, 0.6757, 0.3947)
Co (0.1831, 0.8096, 0.8096)
Co (0.1904, 0.0000, 0.3735)
Co (0.1904, 0.3735, 0.0000)
Co (0.2810, 0.6053, 0.6053)
Co (0.3243, 0.3243, 0.7190)
Co (0.3243, 0.7190, 0.3243)
Co (0.3735, 0.0000, 0.1904)
Co (0.3735, 0.1904, 0.0000)
Co (0.3947, 0.0000, 0.6757)
Co (0.3947, 0.6757, 0.0000)
Co (0.6053, 0.2810, 0.6053)
Co (0.6053, 0.6053, 0.2810)
Co (0.6265, 0.6265, 0.8169)
Co (0.6265, 0.8169, 0.6265)
Co (0.6757, 0.0000, 0.3947)
Co (0.6757, 0.3947, 0.0000)
Co (0.7190, 0.3243, 0.3243)
Co (0.8096, 0.1831, 0.8096)
Co (0.8096, 0.8096, 0.1831)
Co (0.8169, 0.6265, 0.6265)

***

[9]
VASP calculation (PBE) on a relaxed structure of Ta7Co8.

Computed properties:
Energy above the most stable polymorph in this dataset   0.009 eV per atom
Space-group type   P4_2/mnm, No. 136

Lattice parameters (Å, degrees): 9.2540 9.2540 4.8903 90.00 90.00 90.00
Positions (direct):
Ta (0.0000, 0.0000, 0.0000)
Ta (0.0413, 0.3707, 0.5000)
Ta (0.1019, 0.1019, 0.5000)
Ta (0.1293, 0.5413, 0.0000)
Ta (0.3707, 0.0413, 0.5000)
Ta (0.3981, 0.6019, 0.0000)
Ta (0.4587, 0.8707, 0.0000)
Ta (0.5000, 0.5000, 0.5000)
Ta (0.5413, 0.1293, 0.0000)
Ta (0.6019, 0.3981, 0.0000)
Ta (0.6293, 0.9587, 0.5000)
Ta (0.8707, 0.4587, 0.0000)
Ta (0.8981, 0.8981, 0.5000)
Ta (0.9587, 0.6293, 0.5000)
Co (0.0730, 0.2607, 0.0000)
Co (0.1887, 0.8113, 0.2519)
Co (0.1887, 0.8113, 0.7481)
Co (0.2393, 0.5730, 0.5000)
Co (0.2607, 0.0730, 0.0000)
Co (0.3113, 0.3113, 0.2481)
Co (0.3113, 0.3113, 0.7519)
Co (0.4270, 0.7607, 0.5000)
Co (0.5730, 0.2393, 0.5000)
Co (0.6887, 0.6887, 0.2481)
Co (0.6887, 0.6887, 0.7519)
Co (0.7393, 0.9270, 0.0000)
Co (0.7607, 0.4270, 0.5000)
Co (0.8113, 0.1887, 0.2519)
Co (0.8113, 0.1887, 0.7481)
Co (0.9270, 0.7393, 0.0000)

***

[10]
VASP calculation (PBE) on a relaxed structure of Ta7Co5.

Computed properties:
Energy above the most stable polymorph in this dataset   0.322 eV per atom
Space-group type   P6_3/mmc, No. 194

Lattice parameters (Å, degrees): 5.1615 5.1615 16.6038 90.00 90.00 120.00
Positions (direct):
Ta (0.1661, 0.3322, 0.2500)
Ta (0.1661, 0.8339, 0.2500)
Ta (0.3322, 0.1661, 0.7500)
Ta (0.3333, 0.6667, 0.1098)
Ta (0.3333, 0.6667, 0.3902)
Ta (0.3333, 0.6667, 0.6424)
Ta (0.3333, 0.6667, 0.8576)
Ta (0.6667, 0.3333, 0.1424)
Ta (0.6667, 0.3333, 0.3576)
Ta (0.6667, 0.3333, 0.6098)
Ta (0.6667, 0.3333, 0.8902)
Ta (0.6678, 0.8339, 0.2500)
Ta (0.8339, 0.1661, 0.7500)
Ta (0.8339, 0.6678, 0.7500)
Co (0.0000, 0.0000, 0.0964)
Co (0.0000, 0.0000, 0.4036)
Co (0.0000, 0.0000, 0.5964)
Co (0.0000, 0.0000, 0.9036)
Co (0.0000, 0.5000, 0.0000)
Co (0.0000, 0.5000, 0.5000)
Co (0.5000, 0.0000, 0.0000)
Co (0.5000, 0.0000, 0.5000)
Co (0.5000, 0.5000, 0.0000)
Co (0.5000, 0.5000, 0.5000)

***

[11]
VASP calculation (PBE) on a relaxed structure of TaCo3.

Computed properties:
Space-group type   P6_3/mmc, No. 194

Lattice parameters (Å, degrees): 5.0572 5.0572 14.7291 90.00 90.00 120.00
Positions (direct):
Ta (0.0000, 0.5000, 0.0000)
Ta (0.0000, 0.5000, 0.5000)
Ta (0.5000, 0.0000, 0.0000)
Ta (0.5000, 0.0000, 0.5000)
Ta (0.5000, 0.5000, 0.0000)
Ta (0.5000, 0.5000, 0.5000)
Co (0.0000, 0.0000, 0.0967)
Co (0.0000, 0.0000, 0.4033)
Co (0.0000, 0.0000, 0.5967)
Co (0.0000, 0.0000, 0.9033)
Co (0.1502, 0.3004, 0.2500)
Co (0.1502, 0.8498, 0.2500)
Co (0.3004, 0.1502, 0.7500)
Co (0.3333, 0.6667, 0.1405)
Co (0.3333, 0.6667, 0.3595)
Co (0.3333, 0.6667, 0.6654)
Co (0.3333, 0.6667, 0.8346)
Co (0.6667, 0.3333, 0.1654)
Co (0.6667, 0.3333, 0.3346)
Co (0.6667, 0.3333, 0.6405)
Co (0.6667, 0.3333, 0.8595)
Co (0.6996, 0.8498, 0.2500)
Co (0.8498, 0.1502, 0.7500)
Co (0.8498, 0.6996, 0.7500)

***

[12]
VASP calculation (PBE) on a relaxed structure of Ta2Co11.

Computed properties:
Energy above the most stable polymorph in this dataset   0.106 eV per atom
Space-group type   R-3m, No. 166

Lattice parameters (Å, degrees): 8.8231 8.8231 8.8231 30.52 30.52 30.52
Positions (direct):
Ta (0.0520, 0.0520, 0.0520)
Ta (0.9480, 0.9480, 0.9480)
Co (0.0871, 0.5939, 0.5939)
Co (0.1547, 0.1547, 0.1547)
Co (0.3347, 0.3347, 0.3347)
Co (0.4061, 0.4061, 0.9129)
Co (0.4061, 0.9129, 0.4061)
Co (0.5000, 0.5000, 0.5000)
Co (0.5939, 0.0871, 0.5939)
Co (0.5939, 0.5939, 0.0871)
Co (0.6653, 0.6653, 0.6653)
Co (0.8453, 0.8453, 0.8453)
Co (0.9129, 0.4061, 0.4061)

***

[13]
VASP calculation (PBE) on a relaxed structure of Ta24Co5.

Computed properties:
Space-group type   I-43m, No. 217

Lattice parameters (Å, degrees): 8.7662 8.7662 8.7662 109.47 109.47 109.47
Positions (direct):
Ta (0.0000, 0.1856, 0.3718)
Ta (0.0000, 0.3718, 0.1856)
Ta (0.0000, 0.4160, 0.6907)
Ta (0.0000, 0.6907, 0.4160)
Ta (0.1856, 0.0000, 0.3718)
Ta (0.1856, 0.3718, 0.0000)
Ta (0.1862, 0.8144, 0.8144)
Ta (0.2747, 0.5840, 0.5840)
Ta (0.3093, 0.3093, 0.7253)
Ta (0.3093, 0.7253, 0.3093)
Ta (0.3718, 0.0000, 0.1856)
Ta (0.3718, 0.1856, 0.0000)
Ta (0.4160, 0.0000, 0.6907)
Ta (0.4160, 0.6907, 0.0000)
Ta (0.5840, 0.2747, 0.5840)
Ta (0.5840, 0.5840, 0.2747)
Ta (0.6282, 0.6282, 0.8138)
Ta (0.6282, 0.8138, 0.6282)
Ta (0.6907, 0.0000, 0.4160)
Ta (0.6907, 0.4160, 0.0000)
Ta (0.7253, 0.3093, 0.3093)
Ta (0.8144, 0.1862, 0.8144)
Ta (0.8138, 0.6282, 0.6282)
Ta (0.8144, 0.8144, 0.1862)
Co (0.0000, 0.0000, 0.0000)
Co (0.0000, 0.0000, 0.6047)
Co (0.0000, 0.6047, 0.0000)
Co (0.3953, 0.3953, 0.3953)
Co (0.6047, 0.0000, 0.0000)

***

no.,final energy (eV per atom)
1,-9.694
2,-7.748
3,-9.601
4,-9.070
5,-9.842
6,-9.839
7,-9.575
8,-7.840
9,-9.293
10,-9.522
11,-7.825
12,-7.742
13,-10.621